Entry 1:
The following is a PBE-GGA calculation of a relaxed structure of Er2Tm6Tc, from Alexandria.

CIF file:
```
data_Er2Tm6Tc
_chemical_formula_sum 'Er2 Tm6 Tc1'
_symmetry_space_group_name_H-M 'P 1'
_symmetry_Int_Tables_number 1
_cell_length_a 9.585
_cell_length_b 9.585
_cell_length_c 3.385
_cell_angle_alpha 90.00
_cell_angle_beta 90.00
_cell_angle_gamma 123.80
loop_
_symmetry_equiv_pos_as_xyz
'x,y,z'
loop_
_atom_site_label
_atom_site_type_symbol
_atom_site_fract_x
_atom_site_fract_y
_atom_site_fract_z
Er1 Er 0.175 0.825 0.000
Er2 Er 0.825 0.175 0.000
Tm1 Tm 0.170 0.492 0.500
Tm2 Tm 0.237 0.237 0.000
Tm3 Tm 0.492 0.170 0.500
Tm4 Tm 0.508 0.830 0.500
Tm5 Tm 0.763 0.763 0.000
Tm6 Tm 0.830 0.508 0.500
Tc1 Tc 0.500 0.500 0.500
```

Values from the calculation:
The density of states at the Fermi level is 1.293 states/eV/atom. The value obtained for the calculated formation energy is 0.183 eV/atom. Its symmetry is Cmmm.


Entry 2:
The following is a PBE-GGA calculation of a relaxed structure of PrPu4Se5, from Alexandria.

CIF file:
```
data_PrPu4Se5
_chemical_formula_sum 'Pr1 Pu4 Se5'
_symmetry_space_group_name_H-M 'P 1'
_symmetry_Int_Tables_number 1
_cell_length_a 11.040
_cell_length_b 11.040
_cell_length_c 11.040
_cell_angle_alpha 158.20
_cell_angle_beta 148.97
_cell_angle_gamma 38.25
loop_
_symmetry_equiv_pos_as_xyz
'x,y,z'
loop_
_atom_site_label
_atom_site_type_symbol
_atom_site_fract_x
_atom_site_fract_y
_atom_site_fract_z
Pr1 Pr 0.000 0.000 0.000
Pu1 Pu 0.201 0.201 0.000
Pu2 Pu 0.401 0.401 0.000
Pu3 Pu 0.599 0.599 0.000
Pu4 Pu 0.799 0.799 0.000
Se1 Se 0.104 0.604 0.500
Se2 Se 0.301 0.801 0.500
Se3 Se 0.500 0.000 0.500
Se4 Se 0.699 0.199 0.500
Se5 Se 0.896 0.396 0.500
```

Values from the calculation:
The density of states at the Fermi level is 3.914 states/eV/atom. The calculation puts the formation energy without anion corrections at -1.60 eV per atom. Its symmetry is Immm.


Entry 3:
The following is a PBE-GGA calculation of a relaxed structure of HfOs2RhS, from Alexandria.

CIF file:
```
data_HfOs2RhS
_chemical_formula_sum 'Hf1 Os2 Rh1 S1'
_symmetry_space_group_name_H-M 'P 1'
_symmetry_Int_Tables_number 1
_cell_length_a 4.683
_cell_length_b 4.683
_cell_length_c 4.925
_cell_angle_alpha 90.00
_cell_angle_beta 90.00
_cell_angle_gamma 90.00
loop_
_symmetry_equiv_pos_as_xyz
'x,y,z'
loop_
_atom_site_label
_atom_site_type_symbol
_atom_site_fract_x
_atom_site_fract_y
_atom_site_fract_z
Hf1 Hf 0.000 0.000 0.000
Os1 Os 0.000 0.500 0.500
Os2 Os 0.500 0.000 0.500
Rh1 Rh 0.000 0.000 0.500
S1 S 0.500 0.500 0.000
```

Values from the calculation:
The density of states at the Fermi level is 1.366 states/eV/atom. The calculation puts the formation energy without anion corrections at 1.69 eV per atom. Its symmetry is P4/mmm.


Entry 4:
The following is a PBE-GGA calculation of a relaxed structure of Te2AsBr, from Alexandria.

CIF file:
```
data_Te2AsBr
_chemical_formula_sum 'Te2 As1 Br1'
_symmetry_space_group_name_H-M 'P 1'
_symmetry_Int_Tables_number 1
_cell_length_a 8.959
_cell_length_b 8.959
_cell_length_c 8.959
_cell_angle_alpha 24.85
_cell_angle_beta 24.85
_cell_angle_gamma 24.85
loop_
_symmetry_equiv_pos_as_xyz
'x,y,z'
loop_
_atom_site_label
_atom_site_type_symbol
_atom_site_fract_x
_atom_site_fract_y
_atom_site_fract_z
Te1 Te 0.000 0.000 0.000
Te2 Te 0.192 0.192 0.192
As1 As 0.597 0.597 0.597
Br1 Br 0.427 0.427 0.427
```

Values from the calculation:
The density of states at the Fermi level is 1.027 states/eV/atom. The calculation puts the formation energy without anion corrections at 0.08 eV per atom. The value obtained for the relative energy among the computed polymorphs is 0.146 eV per atom. Its symmetry is R3m.


Entry 5:
The following is a PBE-GGA calculation of a relaxed structure of Na3LiPu2O6, from Alexandria.

CIF file:
```
data_Na3LiPu2O6
_chemical_formula_sum 'Na3 Li1 Pu2 O6'
_symmetry_space_group_name_H-M 'P 1'
_symmetry_Int_Tables_number 1
_cell_length_a 5.850
_cell_length_b 5.850
_cell_length_c 5.854
_cell_angle_alpha 99.54
_cell_angle_beta 99.54
_cell_angle_gamma 119.97
loop_
_symmetry_equiv_pos_as_xyz
'x,y,z'
loop_
_atom_site_label
_atom_site_type_symbol
_atom_site_fract_x
_atom_site_fract_y
_atom_site_fract_z
Na1 Na 0.000 0.000 0.000
Na2 Na 0.344 0.656 0.000
Na3 Na 0.656 0.344 0.000
Li1 Li 0.500 0.500 0.500
Pu1 Pu 0.167 0.833 0.500
Pu2 Pu 0.833 0.167 0.500
O1 O 0.077 0.429 0.287
O2 O 0.221 0.221 0.716
O3 O 0.429 0.077 0.287
O4 O 0.571 0.923 0.713
O5 O 0.779 0.779 0.284
O6 O 0.923 0.571 0.713
```

Values from the calculation:
The density of states at the Fermi level is 0.630 states/eV/atom. The calculation puts the formation energy without anion corrections at -2.36 eV per atom. Its symmetry is C2/m.


Entry 6:
The following is a PBE-GGA calculation of a relaxed structure of SbMo2P, from Alexandria.

CIF file:
```
data_SbMo2P
_chemical_formula_sum 'Sb1 Mo2 P1'
_symmetry_space_group_name_H-M 'P 1'
_symmetry_Int_Tables_number 1
_cell_length_a 6.984
_cell_length_b 6.984
_cell_length_c 6.984
_cell_angle_alpha 153.92
_cell_angle_beta 152.07
_cell_angle_gamma 38.58
loop_
_symmetry_equiv_pos_as_xyz
'x,y,z'
loop_
_atom_site_label
_atom_site_type_symbol
_atom_site_fract_x
_atom_site_fract_y
_atom_site_fract_z
Sb1 Sb 0.000 0.000 0.000
Mo1 Mo 0.621 0.621 0.000
Mo2 Mo 0.818 0.318 0.500
P1 P 0.252 0.752 0.500
```

Values from the calculation:
The density of states at the Fermi level is 0.820 states/eV/atom. The calculation puts the formation energy without anion corrections at -0.13 eV per atom. The value obtained for the relative energy among the computed polymorphs is 0.000 eV per atom. Its symmetry is Imm2.


Entry 7:
The following is a PBE-GGA calculation of a relaxed structure of TbHICl, from Alexandria.

CIF file:
```
data_TbHICl
_chemical_formula_sum 'Tb1 H1 I1 Cl1'
_symmetry_space_group_name_H-M 'P 1'
_symmetry_Int_Tables_number 1
_cell_length_a 3.902
_cell_length_b 3.902
_cell_length_c 8.093
_cell_angle_alpha 104.04
_cell_angle_beta 104.04
_cell_angle_gamma 60.00
loop_
_symmetry_equiv_pos_as_xyz
'x,y,z'
loop_
_atom_site_label
_atom_site_type_symbol
_atom_site_fract_x
_atom_site_fract_y
_atom_site_fract_z
Tb1 Tb 0.000 0.000 0.000
H1 H 0.336 0.336 0.008
I1 I 0.761 0.761 0.280
Cl1 Cl 0.593 0.593 0.782
```

Values from the calculation:
The value obtained for the total energy is -17.31 eV per formula unit. The density of states at the Fermi level is 0.000 states/eV/atom. Its symmetry is Cm.


Entry 8:
The following is a PBE-GGA calculation of a relaxed structure of CuRu2Rh, from Alexandria.

CIF file:
```
data_CuRu2Rh
_chemical_formula_sum 'Cu1 Ru2 Rh1'
_symmetry_space_group_name_H-M 'P 1'
_symmetry_Int_Tables_number 1
_cell_length_a 4.281
_cell_length_b 4.281
_cell_length_c 4.281
_cell_angle_alpha 60.00
_cell_angle_beta 60.00
_cell_angle_gamma 60.00
loop_
_symmetry_equiv_pos_as_xyz
'x,y,z'
loop_
_atom_site_label
_atom_site_type_symbol
_atom_site_fract_x
_atom_site_fract_y
_atom_site_fract_z
Cu1 Cu 0.000 0.000 0.000
Ru1 Ru 0.250 0.250 0.250
Ru2 Ru 0.750 0.750 0.750
Rh1 Rh 0.500 0.500 0.500
```

Values from the calculation:
The density of states at the Fermi level is 1.889 states/eV/atom. The value obtained for the relative energy among the computed polymorphs is 0.333 eV per atom. The value obtained for the calculated formation energy is 0.452 eV/atom. Its symmetry is Fm-3m.


Entry 9:
The following is a PBE-GGA calculation of a relaxed structure of Tm2GaNi7, from Alexandria.

CIF file:
```
data_Tm2GaNi7
_chemical_formula_sum 'Tm2 Ga1 Ni7'
_symmetry_space_group_name_H-M 'P 1'
_symmetry_Int_Tables_number 1
_cell_length_a 6.153
_cell_length_b 6.153
_cell_length_c 6.153
_cell_angle_alpha 60.00
_cell_angle_beta 60.00
_cell_angle_gamma 60.00
loop_
_symmetry_equiv_pos_as_xyz
'x,y,z'
loop_
_atom_site_label
_atom_site_type_symbol
_atom_site_fract_x
_atom_site_fract_y
_atom_site_fract_z
Tm1 Tm 0.250 0.250 0.250
Tm2 Tm 0.750 0.750 0.750
Ga1 Ga 0.000 0.000 0.000
Ni1 Ni 0.251 0.251 0.749
Ni2 Ni 0.251 0.749 0.251
Ni3 Ni 0.251 0.749 0.749
Ni4 Ni 0.500 0.500 0.500
Ni5 Ni 0.749 0.251 0.251
Ni6 Ni 0.749 0.251 0.749
Ni7 Ni 0.749 0.749 0.251
```

Values from the calculation:
The density of states at the Fermi level is 1.326 states/eV/atom. The value obtained for the calculated formation energy is 0.167 eV/atom. Its symmetry is Fm-3m.


Entry 10:
The following is a PBE-GGA calculation of a relaxed structure of CaIr4W, from Alexandria.

CIF file:
```
data_CaIr4W
_chemical_formula_sum 'Ca1 Ir4 W1'
_symmetry_space_group_name_H-M 'P 1'
_symmetry_Int_Tables_number 1
_cell_length_a 5.226
_cell_length_b 5.226
_cell_length_c 5.226
_cell_angle_alpha 60.00
_cell_angle_beta 60.00
_cell_angle_gamma 60.00
loop_
_symmetry_equiv_pos_as_xyz
'x,y,z'
loop_
_atom_site_label
_atom_site_type_symbol
_atom_site_fract_x
_atom_site_fract_y
_atom_site_fract_z
Ca1 Ca 0.000 0.000 0.000
Ir1 Ir 0.123 0.626 0.626
Ir2 Ir 0.626 0.123 0.626
Ir3 Ir 0.626 0.626 0.123
Ir4 Ir 0.626 0.626 0.626
W1 W 0.250 0.250 0.250
```

Values from the calculation:
The density of states at the Fermi level is 1.070 states/eV/atom. The value obtained for the calculated formation energy is 0.099 eV/atom. Its symmetry is F-43m.


Entry 11:
The following is a PBE-GGA calculation of a relaxed structure of Cs2RePbCl6, from Alexandria.

CIF file:
```
data_Cs2RePbCl6
_chemical_formula_sum 'Cs2 Re1 Pb1 Cl6'
_symmetry_space_group_name_H-M 'P 1'
_symmetry_Int_Tables_number 1
_cell_length_a 7.547
_cell_length_b 7.547
_cell_length_c 7.547
_cell_angle_alpha 60.00
_cell_angle_beta 60.00
_cell_angle_gamma 60.00
loop_
_symmetry_equiv_pos_as_xyz
'x,y,z'
loop_
_atom_site_label
_atom_site_type_symbol
_atom_site_fract_x
_atom_site_fract_y
_atom_site_fract_z
Cs1 Cs 0.250 0.250 0.250
Cs2 Cs 0.750 0.750 0.750
Re1 Re 0.000 0.000 0.000
Pb1 Pb 0.500 0.500 0.500
Cl1 Cl 0.229 0.229 0.771
Cl2 Cl 0.229 0.771 0.229
Cl3 Cl 0.229 0.771 0.771
Cl4 Cl 0.771 0.229 0.229
Cl5 Cl 0.771 0.229 0.771
Cl6 Cl 0.771 0.771 0.229
```

Values from the calculation:
The density of states at the Fermi level is 0.939 states/eV/atom. The calculation puts the formation energy without anion corrections at -1.03 eV per atom. Its symmetry is Fm-3m.